The following is a PBE calculation of KErTm4Se8 after structural relaxation, from Alexandria via LeMat-Bulk.

```
data_KErTm4Se8
_space_group_name_H-M_alt 'P 1'
_space_group_IT_number 1
_cell_length_a 8.502
_cell_length_b 8.502
_cell_length_c 8.502
_cell_angle_alpha 59.86
_cell_angle_beta 59.86
_cell_angle_gamma 59.86
loop_
_space_group_symop_operation_xyz
'x,y,z'
loop_
_atom_site_label
_atom_site_type_symbol
_atom_site_fract_x
_atom_site_fract_y
_atom_site_fract_z
K1 K 0.000 0.000 0.000
Er1 Er 0.631 0.631 0.631
Tm1 Tm 0.111 0.631 0.631
Tm2 Tm 0.251 0.251 0.251
Tm3 Tm 0.631 0.111 0.631
Tm4 Tm 0.631 0.631 0.111
Se1 Se 0.383 0.383 0.383
Se2 Se 0.383 0.383 0.853
Se3 Se 0.383 0.853 0.383
Se4 Se 0.422 0.861 0.861
Se5 Se 0.853 0.383 0.383
Se6 Se 0.860 0.860 0.860
Se7 Se 0.861 0.422 0.861
Se8 Se 0.861 0.861 0.422
```

Total moment in μB/f.u.: 0.0
E_form (uncorrected) in eV/atom: -1.726
DOS at the Fermi energy in states/eV/f.u.: 0.0

---

The following is a PBE calculation of K2ErTmSe4 after structural relaxation, from Alexandria via LeMat-Bulk.

```
data_K2ErTmSe4
_space_group_name_H-M_alt 'P 1'
_space_group_IT_number 1
_cell_length_a 7.224
_cell_length_b 4.172
_cell_length_c 8.044
_cell_angle_alpha 90.00
_cell_angle_beta 107.43
_cell_angle_gamma 90.00
loop_
_space_group_symop_operation_xyz
'x,y,z'
loop_
_atom_site_label
_atom_site_type_symbol
_atom_site_fract_x
_atom_site_fract_y
_atom_site_fract_z
K1 K 0.000 0.000 0.000
K2 K 0.500 0.500 0.000
Er1 Er 0.000 0.500 0.500
Tm1 Tm 0.500 0.000 0.500
Se1 Se 0.235 0.000 0.703
Se2 Se 0.267 0.500 0.297
Se3 Se 0.733 0.500 0.703
Se4 Se 0.765 0.000 0.297
```

Total moment in μB/f.u.: 0.0
E_form (uncorrected) in eV/atom: -1.755
DOS at the Fermi energy in states/eV/f.u.: 0.0

---

The following is a PBE calculation of K3ErU2Se6 after structural relaxation, from Alexandria via LeMat-Bulk.

```
data_K3ErU2Se6
_space_group_name_H-M_alt 'P 1'
_space_group_IT_number 1
_cell_length_a 7.287
_cell_length_b 7.287
_cell_length_c 8.102
_cell_angle_alpha 98.62
_cell_angle_beta 98.62
_cell_angle_gamma 120.00
loop_
_space_group_symop_operation_xyz
'x,y,z'
loop_
_atom_site_label
_atom_site_type_symbol
_atom_site_fract_x
_atom_site_fract_y
_atom_site_fract_z
K1 K 0.000 0.000 0.000
K2 K 0.333 0.667 0.000
K3 K 0.667 0.333 0.000
Er1 Er 0.500 0.500 0.500
U1 U 0.167 0.833 0.500
U2 U 0.833 0.167 0.500
Se1 Se 0.101 0.431 0.293
Se2 Se 0.239 0.239 0.707
Se3 Se 0.431 0.101 0.293
Se4 Se 0.569 0.899 0.707
Se5 Se 0.761 0.761 0.293
Se6 Se 0.899 0.569 0.707
```

Total moment in μB/f.u.: 6.0
E_form (uncorrected) in eV/atom: -1.393
DOS at the Fermi energy in states/eV/f.u.: 8.8

---

The following is a PBE calculation of K3Er2USe6 after structural relaxation, from Alexandria via LeMat-Bulk.

```
data_K3Er2USe6
_space_group_name_H-M_alt 'P 1'
_space_group_IT_number 1
_cell_length_a 7.295
_cell_length_b 7.295
_cell_length_c 8.074
_cell_angle_alpha 98.67
_cell_angle_beta 98.67
_cell_angle_gamma 120.00
loop_
_space_group_symop_operation_xyz
'x,y,z'
loop_
_atom_site_label
_atom_site_type_symbol
_atom_site_fract_x
_atom_site_fract_y
_atom_site_fract_z
K1 K 0.000 0.000 0.000
K2 K 0.334 0.666 0.000
K3 K 0.666 0.334 0.000
Er1 Er 0.167 0.833 0.500
Er2 Er 0.833 0.167 0.500
U1 U 0.500 0.500 0.500
Se1 Se 0.092 0.431 0.294
Se2 Se 0.229 0.229 0.706
Se3 Se 0.431 0.092 0.294
Se4 Se 0.569 0.908 0.706
Se5 Se 0.771 0.771 0.294
Se6 Se 0.908 0.569 0.706
```

Total moment in μB/f.u.: 3.0
E_form (uncorrected) in eV/atom: -1.561
DOS at the Fermi energy in states/eV/f.u.: 9.5

---

The following is a PBE calculation of KErZnSe3 after structural relaxation, from Alexandria via LeMat-Bulk.

```
data_KErZnSe3
_space_group_name_H-M_alt 'P 1'
_space_group_IT_number 1
_cell_length_a 9.051
_cell_length_b 4.116
_cell_length_c 9.862
_cell_angle_alpha 90.00
_cell_angle_beta 108.22
_cell_angle_gamma 90.00
loop_
_space_group_symop_operation_xyz
'x,y,z'
loop_
_atom_site_label
_atom_site_type_symbol
_atom_site_fract_x
_atom_site_fract_y
_atom_site_fract_z
K1 K 0.208 0.250 0.234
K2 K 0.792 0.750 0.766
Er1 Er 0.330 0.750 0.860
Er2 Er 0.670 0.250 0.140
Zn1 Zn 0.084 0.250 0.607
Zn2 Zn 0.916 0.750 0.393
Se1 Se 0.109 0.250 0.860
Se2 Se 0.207 0.750 0.537
Se3 Se 0.461 0.750 0.158
Se4 Se 0.539 0.250 0.842
Se5 Se 0.793 0.250 0.463
Se6 Se 0.891 0.750 0.140
```

Total moment in μB/f.u.: 0.0
E_form (uncorrected) in eV/atom: -1.384
DOS at the Fermi energy in states/eV/f.u.: 0.0

---

The following is a PBE calculation of K2ErZrSe4 after structural relaxation, from Alexandria via LeMat-Bulk.

```
data_K2ErZrSe4
_space_group_name_H-M_alt 'P 1'
_space_group_IT_number 1
_cell_length_a 7.046
_cell_length_b 4.031
_cell_length_c 8.065
_cell_angle_alpha 90.00
_cell_angle_beta 106.67
_cell_angle_gamma 90.00
loop_
_space_group_symop_operation_xyz
'x,y,z'
loop_
_atom_site_label
_atom_site_type_symbol
_atom_site_fract_x
_atom_site_fract_y
_atom_site_fract_z
K1 K 0.000 0.000 0.000
K2 K 0.500 0.500 0.000
Er1 Er 0.000 0.500 0.500
Zr1 Zr 0.500 0.000 0.500
Se1 Se 0.243 0.000 0.705
Se2 Se 0.273 0.500 0.297
Se3 Se 0.727 0.500 0.703
Se4 Se 0.757 0.000 0.295
```

Total moment in μB/f.u.: 0.0
E_form (uncorrected) in eV/atom: -1.523
DOS at the Fermi energy in states/eV/f.u.: 3.2

---

The following is a PBE calculation of K2Er2ZrSe6 after structural relaxation, from Alexandria via LeMat-Bulk.

```
data_K2Er2ZrSe6
_space_group_name_H-M_alt 'P 1'
_space_group_IT_number 1
_cell_length_a 7.002
_cell_length_b 7.002
_cell_length_c 8.224
_cell_angle_alpha 98.38
_cell_angle_beta 98.38
_cell_angle_gamma 119.69
loop_
_space_group_symop_operation_xyz
'x,y,z'
loop_
_atom_site_label
_atom_site_type_symbol
_atom_site_fract_x
_atom_site_fract_y
_atom_site_fract_z
K1 K 0.169 0.831 0.000
K2 K 0.831 0.169 0.000
Er1 Er 0.333 0.667 0.500
Er2 Er 0.667 0.333 0.500
Zr1 Zr 0.000 0.000 0.500
Se1 Se 0.069 0.389 0.699
Se2 Se 0.253 0.253 0.302
Se3 Se 0.389 0.069 0.699
Se4 Se 0.611 0.931 0.301
Se5 Se 0.747 0.747 0.698
Se6 Se 0.931 0.611 0.301
```

Total moment in μB/f.u.: 0.0
E_form (uncorrected) in eV/atom: -1.648
DOS at the Fermi energy in states/eV/f.u.: 0.0

---

The following is a PBE calculation of KSmEr2 after structural relaxation, from Alexandria via LeMat-Bulk.

```
data_KSmEr2
_space_group_name_H-M_alt 'P 1'
_space_group_IT_number 1
_cell_length_a 13.375
_cell_length_b 13.375
_cell_length_c 13.375
_cell_angle_alpha 15.38
_cell_angle_beta 15.38
_cell_angle_gamma 15.38
loop_
_space_group_symop_operation_xyz
'x,y,z'
loop_
_atom_site_label
_atom_site_type_symbol
_atom_site_fract_x
_atom_site_fract_y
_atom_site_fract_z
K1 K 0.000 0.000 0.000
Sm1 Sm 0.500 0.500 0.500
Er1 Er 0.095 0.095 0.095
Er2 Er 0.905 0.905 0.905
```

Total moment in μB/f.u.: 0.0
DOS at the Fermi energy in states/eV/f.u.: 5.4
Energy of formation from the pure elements in eV per atom: 0.264